Record 1
La2ZrRe after structural relaxation, computed with PBE.

- Total magnetic moment: 0.000 Bohr magnetons per cell
- ΔE to the lowest computed polymorph: 416 meV/atom
- ρ: 9.22 g/cm³
- Energy relative to the elements: 523 meV/atom

a b c (Å): 3.5483 4.4834 6.2861
angles (deg): 90.00 90.00 90.00
Last column: nearest neighbours and their distance in Å.
Sites, in units of the cell vectors:
Zr1 0.5000 0.5000 0.7500  2 Re 3.14, 8 La 3.33
La1 0.0000 0.0000 0.4790  1 La 2.88, 4 Re 3.20
Re1 0.5000 0.5000 0.2500  2 Zr 3.14, 8 La 3.20
La2 0.0000 0.0000 0.0210  1 La 2.88, 4 Re 3.20

***

Record 2
SrAuC2 after structural relaxation, computed with PBE.

- Total magnetic moment: 0.000 Bohr magnetons per cell
- ΔE to the lowest computed polymorph: 1812 meV/atom
- ρ: 8.44 g/cm³
- Energy relative to the elements: 1734 meV/atom

a b c (Å): 4.4117 4.4117 4.4117
angles (deg): 60.00 60.00 60.00
Last column: nearest neighbours and their distance in Å.
Sites, in units of the cell vectors:
C1 0.7500 0.7500 0.7500  4 Sr 2.70, 4 Au 2.70
C2 0.2500 0.2500 0.2500  4 Au 2.70, 4 Sr 2.70
Au1 0.5000 0.5000 0.5000  8 C 2.70
Sr1 0.0000 0.0000 0.0000  8 C 2.70

***

Record 3
NbNi3B after structural relaxation, computed with PBE.

- Total magnetic moment: 0.000 Bohr magnetons per cell
- ΔE to the lowest computed polymorph: 2166 meV/atom
- ρ: 4.97 g/cm³
- Energy relative to the elements: 2144 meV/atom

a b c (Å): 4.5376 4.5376 4.5376
angles (deg): 90.00 90.00 90.00
Last column: nearest neighbours and their distance in Å.
Sites, in units of the cell vectors:
B1 0.5000 0.5000 0.5000  12 Ni 3.21
Ni1 0.0000 0.5000 0.0000  2 Nb 2.27
Ni2 0.5000 0.0000 0.0000  2 Nb 2.27
Nb1 0.0000 0.0000 0.0000  6 Ni 2.27
Ni3 0.0000 0.0000 0.5000  2 Nb 2.27

***

Record 4
PrBe2CuH8 after structural relaxation, computed with PBE.

- Total magnetic moment: 0.000 Bohr magnetons per cell
- ρ: 3.87 g/cm³

a b c (Å): 4.3158 4.3158 6.6169
angles (deg): 70.97 70.97 60.00
Last column: nearest neighbours and their distance in Å.
Sites, in units of the cell vectors:
H1 0.7254 0.0562 0.8185  1 Be 1.44
H2 0.1777 0.1777 0.4669  1 Be 1.50
H3 0.0562 0.3999 0.8185  1 Be 1.44
H4 0.9438 0.6001 0.1815  1 Be 1.44
Be1 0.2592 0.2592 0.2223  4 H 1.44-1.50
Be2 0.7408 0.7408 0.7777  4 H 1.44-1.50
H5 0.8223 0.8223 0.5331  1 Be 1.50
H6 0.6001 0.2746 0.1815  1 Be 1.44
H7 0.2746 0.9438 0.1815  1 Be 1.44
H8 0.3999 0.7254 0.8185  1 Be 1.44
Pr1 0.5000 0.5000 0.5000  12 H 2.43-2.50
Cu1 0.0000 0.0000 0.0000  6 H 1.83

***

Record 5
Mg3PN after structural relaxation, computed with PBE.

- Energy relative to the elements, uncorrected: -0.64 eV per atom
- Total magnetic moment: 0.000 Bohr magnetons per cell
- ΔE to the lowest computed polymorph: 98 meV/atom
- ρ: 2.36 g/cm³

a b c (Å): 6.7808 4.0417 6.4242
angles (deg): 71.71 96.91 89.97
Last column: nearest neighbours and their distance in Å.
Sites, in units of the cell vectors:
P1 0.5414 0.0909 0.2173  6 Mg 2.51-2.68
N1 0.0859 0.5805 0.2390  6 Mg 2.13-2.38
Mg1 0.9734 0.7553 0.8912  2 N 2.16-2.27
P2 0.7894 0.3358 0.7301  6 Mg 2.51-2.68
N2 0.2450 0.8462 0.7085  6 Mg 2.13-2.38
Mg2 0.1682 0.0415 0.3172  3 N 2.13-2.38
Mg3 0.7840 0.5437 0.3114  1 N 2.15
Mg4 0.3572 0.6712 0.0565  2 N 2.16-2.27
Mg5 0.1627 0.3852 0.6306  3 N 2.13-2.38
Mg6 0.5466 0.8829 0.6359  1 N 2.15

***

Record 6
ZnCr3Cl after structural relaxation, computed with PBE.

- Energy relative to the elements, uncorrected: 0.82 eV per atom
- Total magnetic moment: 0.001 Bohr magnetons per cell
- ΔE to the lowest computed polymorph: 0 meV/atom
- ρ: 6.10 g/cm³

a b c (Å): 4.1201 4.1201 4.1201
angles (deg): 90.00 90.00 90.00
Last column: nearest neighbours and their distance in Å.
Sites, in units of the cell vectors:
Cr1 0.5000 0.0000 0.0000  2 Cl 2.06
Cr2 0.0000 0.0000 0.5000  2 Cl 2.06
Cl1 0.0000 0.0000 0.0000  6 Cr 2.06
Cr3 0.0000 0.5000 0.0000  2 Cl 2.06
Zn1 0.5000 0.5000 0.5000  12 Cr 2.91

***

Record 7
Na3Mn5S12 after structural relaxation, computed with PBE.

- Energy relative to the elements, uncorrected: -0.48 eV per atom
- Total magnetic moment: 56.385 Bohr magnetons per cell
- ρ: 2.98 g/cm³

a b c (Å): 12.8227 12.8227 12.8227
angles (deg): 109.47 109.47 109.47
Last column: nearest neighbours and their distance in Å.
Sites, in units of the cell vectors:
Mn1 0.8750 0.6250 0.7500  4 S 2.15
S1 0.6851 0.4833 0.5927  2 Mn 2.15-2.39
S2 0.5924 0.7018 0.6851  2 Mn 2.15-2.39
S3 0.0167 0.6094 0.7018  2 Mn 2.15-2.39
S4 0.1851 0.0924 0.7018  2 Mn 2.15-2.39
S5 0.4833 0.7982 0.8906  2 Mn 2.15-2.39
Na1 0.6250 0.2500 0.3750  8 S 2.96-2.97
Mn2 0.6250 0.7500 0.8750  4 S 2.15
Mn3 0.6250 0.8750 0.2500  4 S 2.15
S6 0.8149 0.9076 0.2982  2 Mn 2.15-2.39
Mn4 0.0000 0.5000 0.0000  6 S 2.39
S7 0.2018 0.5167 0.6094  2 Mn 2.15-2.39
S8 0.4073 0.0167 0.3149  2 Mn 2.15-2.39
S9 0.3149 0.7982 0.4076  2 Mn 2.15-2.39
Mn5 0.8750 0.2500 0.6250  4 S 2.15
S10 0.5924 0.8906 0.4073  2 Mn 2.15-2.39
Na2 0.2500 0.1250 0.3750  8 S 2.96-2.97
Na3 0.7500 0.8750 0.6250  8 S 2.96-2.97
Mn6 0.1250 0.3750 0.2500  4 S 2.15
Na4 0.1250 0.2500 0.8750  8 S 2.96-2.97
Na5 0.2500 0.6250 0.8750  8 S 2.96-2.97
S11 0.5167 0.2018 0.1094  2 Mn 2.15-2.39
Mn7 0.5000 0.5000 0.0000  6 S 2.39
S12 0.1094 0.7018 0.5167  2 Mn 2.15-2.39
Na6 0.8750 0.1250 0.2500  8 S 2.96-2.97
S13 0.0927 0.9076 0.1094  2 Mn 2.15-2.39
S14 0.0924 0.9073 0.3906  2 Mn 2.15-2.39
S15 0.4833 0.6851 0.0927  2 Mn 2.15-2.39
S16 0.8906 0.5924 0.9073  2 Mn 2.15-2.39
Mn8 0.1250 0.7500 0.3750  4 S 2.15
S17 0.8906 0.2982 0.4833  2 Mn 2.15-2.39
S18 0.9076 0.0927 0.6094  2 Mn 2.15-2.39
S19 0.1094 0.4076 0.0927  2 Mn 2.15-2.39
S20 0.4073 0.3906 0.5924  2 Mn 2.15-2.39
S21 0.1851 0.0927 0.9833  2 Mn 2.15-2.39
S22 0.7982 0.4833 0.3906  2 Mn 2.15-2.39
Mn9 0.3750 0.2500 0.1250  4 S 2.15
Na7 0.1250 0.8750 0.7500  8 S 2.96-2.97
S23 0.9833 0.5927 0.1851  2 Mn 2.15-2.39
Mn10 0.5000 0.0000 0.5000  6 S 2.39
S24 0.0924 0.1851 0.2018  2 Mn 2.15-2.39
Mn11 0.2500 0.3750 0.6250  4 S 2.15
S25 0.9073 0.0924 0.8906  2 Mn 2.15-2.39
Mn12 0.5000 0.0000 0.0000  6 S 2.39
S26 0.8149 0.9073 0.0167  2 Mn 2.15-2.39
Na8 0.7500 0.3750 0.1250  8 S 2.96-2.97
Na9 0.3750 0.6250 0.2500  8 S 2.96-2.97
Mn13 0.7500 0.1250 0.8750  4 S 2.15
S27 0.3906 0.4073 0.0924  2 Mn 2.15-2.39
S28 0.2982 0.4076 0.8149  2 Mn 2.15-2.39
S29 0.7982 0.3149 0.9076  2 Mn 2.15-2.39
S30 0.2018 0.6851 0.0924  2 Mn 2.15-2.39
Mn14 0.2500 0.8750 0.1250  4 S 2.15
S31 0.6094 0.0167 0.2018  2 Mn 2.15-2.39
Mn15 0.3750 0.1250 0.7500  4 S 2.15
S32 0.3906 0.9833 0.7982  2 Mn 2.15-2.39
Na10 0.6250 0.3750 0.7500  8 S 2.96-2.97
S33 0.0167 0.4073 0.8149  2 Mn 2.15-2.39
S34 0.5927 0.9833 0.6851  2 Mn 2.15-2.39
Mn16 0.0000 0.0000 0.0000  6 S 2.39
S35 0.6094 0.5927 0.9076  2 Mn 2.15-2.39
S36 0.7018 0.5924 0.1851  2 Mn 2.15-2.39
Mn17 0.7500 0.6250 0.3750  4 S 2.15
S37 0.2982 0.8906 0.9833  2 Mn 2.15-2.39
S38 0.5167 0.3149 0.9073  2 Mn 2.15-2.39
Mn18 0.0000 0.0000 0.5000  6 S 2.39
S39 0.6851 0.2018 0.5924  2 Mn 2.15-2.39
S40 0.3149 0.5167 0.4073  2 Mn 2.15-2.39
S41 0.4076 0.1094 0.5927  2 Mn 2.15-2.39
S42 0.0927 0.1851 0.4833  2 Mn 2.15-2.39
Na11 0.8750 0.7500 0.1250  8 S 2.96-2.97
S43 0.9076 0.8149 0.7982  2 Mn 2.15-2.39
S44 0.9833 0.3906 0.2982  2 Mn 2.15-2.39
Mn19 0.0000 0.5000 0.5000  6 S 2.39
S45 0.9073 0.8149 0.5167  2 Mn 2.15-2.39
S46 0.4076 0.2982 0.3149  2 Mn 2.15-2.39
S47 0.5927 0.6094 0.4076  2 Mn 2.15-2.39
Mn20 0.5000 0.5000 0.5000  6 S 2.39
Na12 0.3750 0.7500 0.6250  8 S 2.96-2.97
S48 0.7018 0.1094 0.0167  2 Mn 2.15-2.39

***

Record 8
Sc2TcSbH after structural relaxation, computed with PBE.

- Total magnetic moment: 0.134 Bohr magnetons per cell
- ρ: 6.57 g/cm³

a b c (Å): 4.4975 4.4975 3.8829
angles (deg): 90.00 90.00 90.00
Last column: nearest neighbours and their distance in Å.
Sites, in units of the cell vectors:
Tc1 0.0000 0.0000 0.5000  2 H 1.94
Sc1 0.0000 0.5000 0.0000  2 H 2.25
H1 0.0000 0.0000 0.0000  2 Tc 1.94
Sb1 0.5000 0.5000 0.5000  8 Sc 2.97, 4 Tc 3.18
Sc2 0.5000 0.0000 0.0000  2 H 2.25

***

Record 9
Ta3Au after structural relaxation, computed with PBE.

- Total magnetic moment: 0.000 Bohr magnetons per cell
- ΔE to the lowest computed polymorph: 55 meV/atom
- ρ: 17.15 g/cm³
- Energy relative to the elements: 4 meV/atom

a b c (Å): 3.7459 4.3730 4.3736
angles (deg): 90.00 90.00 90.00
Last column: nearest neighbours and their distance in Å.
Sites, in units of the cell vectors:
Ta1 0.0000 0.0000 0.9167  8 Ta 2.88, 4 Au 3.09
Ta2 0.5000 0.0000 0.4167  4 Au 2.88, 8 Ta 2.88-3.09
Au1 0.0000 0.5000 0.4167  12 Ta 2.88-3.09
Ta3 0.5000 0.5000 0.9167  8 Ta 2.88-3.09, 4 Au 2.88

***

Record 10
Li7Zn2Ga2 after structural relaxation, computed with PBE.

- Total magnetic moment: 0.000 Bohr magnetons per cell
- ρ: 2.47 g/cm³
- Energy relative to the elements: -10 meV/atom

a b c (Å): 5.6370 6.9672 5.6370
angles (deg): 90.07 104.67 89.93
Last column: nearest neighbours and their distance in Å.
Sites, in units of the cell vectors:
Li1 0.0000 0.0000 0.0000  2 Zn 3.16, 8 Li 3.44-3.45
Li2 0.0003 0.7160 0.5005  2 Ga 2.74, 2 Zn 2.78, 3 Li 2.83-3.01
Li3 0.5004 0.6733 0.4996  1 Li 2.42, 2 Ga 2.56, 2 Zn 2.62
Zn1 0.6458 0.0000 0.3542  1 Zn 2.60, 6 Li 2.62-2.78
Li4 0.5005 0.2840 0.0003  2 Ga 2.74, 2 Zn 2.78, 3 Li 2.83-3.01
Ga1 0.8278 0.5000 0.8278  1 Ga 2.37, 2 Li 2.56
Zn2 0.3542 0.0000 0.6458  1 Zn 2.60, 6 Li 2.62-2.78
Li5 0.4996 0.3267 0.5004  1 Li 2.42, 2 Ga 2.56, 2 Zn 2.62
Li6 0.4995 0.7160 0.9997  2 Ga 2.74, 2 Zn 2.78, 3 Li 2.83-3.01
Ga2 0.1722 0.5000 0.1722  1 Ga 2.37, 2 Li 2.56
Li7 0.9997 0.2840 0.4995  2 Ga 2.74, 2 Zn 2.78, 3 Li 2.83-3.01

***

Record 11
Nd2Al2Ru2C after structural relaxation, computed with PBE.

- Total magnetic moment: 0.000 Bohr magnetons per cell
- ρ: 6.77 g/cm³
- Energy relative to the elements: -479 meV/atom

a b c (Å): 4.2610 6.1455 6.0314
angles (deg): 74.34 69.31 69.72
Last column: nearest neighbours and their distance in Å.
Sites, in units of the cell vectors:
Ru1 0.1964 0.7009 0.9064  1 C 1.89
Ru2 0.8036 0.2991 0.0936  1 C 1.89
Nd1 0.4420 0.8272 0.2888  2 C 2.76
C1 0.0000 0.0000 0.0000  2 Ru 1.89
Al1 0.1622 0.3951 0.2804  3 Ru 2.48-2.51
Al2 0.8378 0.6049 0.7196  3 Ru 2.48-2.51
Nd2 0.5580 0.1728 0.7112  2 C 2.76

***

Record 12
ZrCdBi2As after structural relaxation, computed with PBE.

- Total magnetic moment: 0.000 Bohr magnetons per cell
- ρ: 7.04 g/cm³
- Energy relative to the elements: 1012 meV/atom

a b c (Å): 5.4845 5.4597 5.4845
angles (deg): 90.00 90.00 90.00
Last column: nearest neighbours and their distance in Å.
Sites, in units of the cell vectors:
Zr1 0.0000 0.5000 0.0000  2 Cd 2.73
Bi1 0.0000 0.0000 0.5000  2 Cd 2.74
As1 0.5000 0.5000 0.5000  8 Bi 3.87, 4 Zr 3.88
Cd1 0.0000 0.0000 0.0000  2 Zr 2.73, 4 Bi 2.74
Bi2 0.5000 0.0000 0.0000  2 Cd 2.74

***

Record 13
TbCeGaRu after structural relaxation, computed with PBE.

- Total magnetic moment: 0.428 Bohr magnetons per cell
- ΔE to the lowest computed polymorph: 0 meV/atom
- ρ: 8.05 g/cm³
- Energy relative to the elements: -391 meV/atom

a b c (Å): 5.1298 4.6698 4.6698
angles (deg): 60.00 90.00 90.00
Last column: nearest neighbours and their distance in Å.
Sites, in units of the cell vectors:
Ru1 0.3547 0.3333 0.3333  2 Ga 2.56-2.57
Tb1 0.1210 0.0000 0.0000  3 Ru 2.95, 3 Ga 3.02
Ga1 0.8542 0.3333 0.3333  2 Ru 2.56-2.57
Ce1 0.5633 0.6667 0.6667  3 Ru 2.90, 3 Ga 3.08

***

Record 14
CdCo2Rh after structural relaxation, computed with PBE.

- Total magnetic moment: 3.755 Bohr magnetons per cell
- ρ: 9.85 g/cm³
- Energy relative to the elements: 312 meV/atom

a b c (Å): 4.4182 4.4182 2.8762
angles (deg): 90.00 90.00 90.00
Last column: nearest neighbours and their distance in Å.
Sites, in units of the cell vectors:
Cd1 0.0000 0.5000 0.5000  8 Co 2.64, 2 Cd 2.88
Co1 0.0000 0.0000 0.0000  4 Cd 2.64, 4 Rh 2.64, 2 Co 2.88
Co2 0.5000 0.5000 0.0000  4 Cd 2.64, 4 Rh 2.64, 2 Co 2.88
Rh1 0.5000 0.0000 0.5000  8 Co 2.64, 2 Rh 2.88

***

Record 15
NdTm5Mg6 after structural relaxation, computed with PBE.

- Total magnetic moment: 0.000 Bohr magnetons per cell
- ρ: 5.84 g/cm³
- Energy relative to the elements: -65 meV/atom

a b c (Å): 5.3366 7.5317 8.4536
angles (deg): 90.00 71.63 90.00
Last column: nearest neighbours and their distance in Å.
Sites, in units of the cell vectors:
Mg1 0.8326 0.2536 0.3369  7 Tm 3.24-3.28, 1 Nd 3.31
Tm1 0.0000 0.5000 0.0000  8 Mg 3.25-3.28
Mg2 0.5000 0.7468 0.0000  6 Tm 3.23-3.31, 2 Nd 3.28
Mg3 0.8326 0.7464 0.3368  7 Tm 3.24-3.28, 1 Nd 3.31
Tm2 0.3357 0.5000 0.3299  8 Mg 3.23-3.26
Mg4 0.5000 0.2532 0.0000  6 Tm 3.23-3.31, 2 Nd 3.28
Nd1 0.0000 0.0000 0.0000  8 Mg 3.28-3.31
Tm3 0.6680 0.0000 0.6626  8 Mg 3.24-3.31
Tm4 0.6643 0.5000 0.6701  8 Mg 3.23-3.26
Mg5 0.1674 0.2536 0.6632  7 Tm 3.24-3.28, 1 Nd 3.31
Tm5 0.3320 0.0000 0.3374  8 Mg 3.24-3.31
Mg6 0.1674 0.7464 0.6631  7 Tm 3.24-3.28, 1 Nd 3.31

***

The following uncorrected energy values (in eV per cell) correspond, in order, to the records above: -28.761, -16.471, -23.371, -44.721, -43.440, -27.871, -435.448, -32.995, -38.821, -22.108, -48.152, -16.814, -24.432, -21.229, -37.474.